Material: LaNbFe2
Method: DFT, PBE
State: optimized geometry

Formation energy from the elements, eV/atom: 0.395
Total magnetic moment, μB/atom: 0.41
Total energy, eV/cell: -30.34
V, Å³/cell: 71.0
Symmetry: Fm-3m, No. 225
N(E_F), states/eV/atom: 1.290

abc: 4.6471 4.6471 4.6471
angles: 60.00 60.00 60.00
Each line ends with the local moment (μB).
Positions (direct):
Nb: 0.0000 0.0000 0.0000  -0.99
Fe: 0.7500 0.7500 0.7500  1.60
La: 0.5000 0.5000 0.5000  -0.22
Fe: 0.2500 0.2500 0.2500  1.60



Material: LaHfReH2
Method: DFT, PBE
State: optimized geometry

Total magnetic moment, μB/atom: 0.00
Total energy, eV/cell: -27.71
V, Å³/cell: 82.8
Symmetry: P4/mmm, No. 123
N(E_F), states/eV/atom: 0.763

abc: 4.0305 5.1000 4.0305
angles: 90.00 90.00 90.00
Positions (direct):
Hf: 0.5000 0.5000 0.5000
Re: 0.0000 0.0000 0.0000
La: 0.0000 0.5000 0.0000
H: 0.5000 0.0000 0.0000
H: 0.0000 0.0000 0.5000



Material: H2OsN
Method: DFT, PBE
State: optimized geometry

Total magnetic moment, μB/atom: 0.00
Total energy, eV/cell: -49.20
V, Å³/cell: 68.6
Relative energy among the computed polymorphs, meV/atom: 286
Symmetry: Cm, No. 8
N(E_F), states/eV/atom: 0.324

abc: 3.6466 2.7883 6.7919
angles: 90.00 96.33 90.00
Positions (direct):
H: 0.5662 0.5000 0.2207
H: 0.3351 0.5000 0.8384
H: 0.3351 0.0000 0.3384
N: 0.8591 0.0000 0.0276
Os: 0.8198 0.0000 0.3190
N: 0.8591 0.5000 0.5276
Os: 0.8198 0.5000 0.8190
H: 0.5662 0.0000 0.7207